This record from Alexandria via LeMat-Bulk describes Fe3O4F2 after structural relaxation. The functional is PBE+U.

POSCAR file:
```
Fe3O4F2
1.0
4.663 0.001 0.000
0.208 5.612 0.001
0.151 0.626 7.650
Fe O F
6 8 4
direct
0.503 0.829 0.660
0.488 0.511 0.997
0.508 0.185 0.355
0.005 0.338 0.674
0.968 0.647 0.319
0.022 0.991 0.997
0.812 0.366 0.447
0.806 0.710 0.093
0.699 0.544 0.764
0.694 0.871 0.439
0.298 0.122 0.575
0.309 0.461 0.231
0.303 0.798 0.881
0.189 0.294 0.898
0.790 0.044 0.774
0.704 0.198 0.105
0.202 0.962 0.233
0.201 0.629 0.556
```

SG   P1
E above lowest polymorph   43 meV/atom
Final energy   -108.972 eV for the cell shown